First-principles (PBE) data for a relaxed structure of CaTl3C, as listed in Alexandria.

Properties
Spin magnetization   0.208 μB/atom
Calculated density   4.97 Mg/m³
VASP energy   -1.931 eV per atom
Energy above the lowest structure with this stoichiometry   0.966 eV per atom
Crystal system   cubic

Cell and atoms, written as CIF:
```
data_CaTl3C
_chemical_formula_sum 'Ca1 Tl3 C1'
_symmetry_space_group_name_H-M 'P 1'
_symmetry_Int_Tables_number 1
_cell_length_a 6.058
_cell_length_b 6.058
_cell_length_c 6.058
_cell_angle_alpha 90.00
_cell_angle_beta 90.00
_cell_angle_gamma 90.00
loop_
_symmetry_equiv_pos_as_xyz
'x,y,z'
loop_
_atom_site_label
_atom_site_type_symbol
_atom_site_fract_x
_atom_site_fract_y
_atom_site_fract_z
Ca1 Ca 0.000 0.000 0.000
Tl1 Tl 0.000 0.000 0.500
Tl2 Tl 0.000 0.500 0.000
Tl3 Tl 0.500 0.000 0.000
C1 C 0.500 0.500 0.500
```